A plane-wave DFT calculation with PBE was carried out for a geometry-optimized Rb3HgI6 structure.

Cell lengths 12.8330, 12.8330, 12.8330 Å; angles 90.00, 90.00, 90.00 degrees
With the nearest neighbours (Å) after each atom.
Space group Fm-3m (No. 225)
One atom of each set of equivalent atoms:
Rb: 0.0000 0.0000 0.0000  6 I 3.44
Rb: 0.2500 0.2500 0.2500  12 I 4.54
Hg: 0.0000 0.0000 0.5000  6 I 2.98
I: 0.0000 0.0000 0.2678  1 Hg 2.98

Computed properties:
* M_tot: 0.000 μB per atom
* ΔE_f (raw): -18.5 kcal/mol of atoms